The following is a DFT calculation (PBE) of an optimized crystal structure of KSi2Tc.

Cell: 5.300 5.300 2.651 Å, 90.00 90.00 110.11°
Fractional coordinates of all 4 atoms:
K: 0.000 0.500 0.500
Tc: 0.500 0.000 0.500
Si: 0.000 0.000 0.000
Si: 0.500 0.500 0.000

**Total magnetic moment**: 0.000 μB/cell
**Excess energy over the best structure of this formula in the dataset**: 3.78 eV per formula unit
**Raw total energy**: -4.695 eV/atom
**Raw formation energy**: 0.8824 eV per atom